Entry 1:
Nd4Sm3Er PBE-GGA relaxed; electronic total energy = -36.56 eV per cell; DFT formation energy = 1.23 eV/f.u.; energy above the most stable polymorph in this dataset = 123 meV/atom; crystal system = monoclinic
1.0
11.846 -1.760 0.000
11.846 1.760 0.000
-2.009 0.000 6.618
Nd Sm Er
4 3 1
direct
0.123 0.123 0.364 Nd
0.259 0.259 0.761 Nd
0.741 0.741 0.239 Nd
0.877 0.877 0.636 Nd
0.000 0.000 0.500 Sm
0.123 0.123 0.883 Sm
0.877 0.877 0.117 Sm
0.500 0.500 0.000 Er

=====

Entry 2:
ThTl2InI8 PBE-GGA relaxed; electronic total energy = -36.92 eV per cell; E_form (uncorrected) = -77.4 kJ/mol of atoms; crystal system = monoclinic
1.0
7.581 0.000 0.000
0.000 9.521 0.000
-0.286 0.000 8.117
Th Tl In I
1 2 1 8
direct
0.000 0.000 0.000 Th
0.500 0.262 0.500 Tl
0.500 0.738 0.500 Tl
0.000 0.500 0.000 In
0.223 0.000 0.321 I
0.230 0.500 0.313 I
0.231 0.238 0.862 I
0.231 0.762 0.862 I
0.769 0.238 0.138 I
0.769 0.762 0.138 I
0.770 0.500 0.687 I
0.777 0.000 0.679 I

=====

| no. | total magnetization (μB/cell) |
| --- | --- |
| 1 | 0.00 |
| 2 | 0.00 |